(1)
Density functional theory data (PBE) for crystalline LiMgV2Ga at its relaxed geometry.

Computed properties:
E_tot (eV/atom): -3.56
ΔE_f (meV/atom): 1395
Symmetry: P4/mmm, No. 123

a = 4.6386 Å, b = 4.6386 Å, c = 4.2755 Å
α = 90.00°, β = 90.00°, γ = 90.00°
Last column: nearest neighbours and their distance in Å.
Positions (direct):
Li1 0.0000 0.0000 0.0000  2 Mg 2.14
Mg1 0.0000 0.0000 0.5000  2 Li 2.14, 4 V 2.32
V1 0.0000 0.5000 0.5000  2 Mg 2.32
V2 0.5000 0.0000 0.5000  2 Mg 2.32
Ga1 0.5000 0.5000 0.0000  8 V 3.15, 4 Li 3.28

(2)
Density functional theory data (PBE) for crystalline Ac5Sm2Y at its relaxed geometry.

Computed properties:
E_tot (eV/atom): -4.52
ΔE_f (meV/atom): 39
Symmetry: Pbam, No. 55

a = 7.6288 Å, b = 15.2942 Å, c = 5.5219 Å
α = 90.00°, β = 90.00°, γ = 90.00°
Last column: nearest neighbours and their distance in Å.
Positions (direct):
Ac1 0.0000 0.0000 0.0000  2 Y 3.81, 4 Sm 3.83, 6 Ac 3.87-3.89
Ac2 0.0126 0.2540 0.0000  1 Y 3.76, 7 Ac 3.82-3.92, 4 Sm 3.82-3.92
Ac3 0.2392 0.6208 0.5000  4 Sm 3.75-3.90, 2 Y 3.79, 6 Ac 3.87-3.92
Ac4 0.2608 0.1208 0.5000  4 Sm 3.75-3.90, 2 Y 3.79, 6 Ac 3.87-3.92
Ac5 0.4874 0.7540 0.0000  1 Y 3.76, 7 Ac 3.82-3.92, 4 Sm 3.82-3.92
Ac6 0.5000 0.5000 0.0000  2 Y 3.81, 4 Sm 3.83, 6 Ac 3.87-3.89
Ac7 0.5126 0.2460 0.0000  1 Y 3.76, 7 Ac 3.82-3.92, 4 Sm 3.82-3.92
Ac8 0.7392 0.8792 0.5000  4 Sm 3.75-3.90, 2 Y 3.79, 6 Ac 3.87-3.92
Ac9 0.7608 0.3792 0.5000  4 Sm 3.75-3.90, 2 Y 3.79, 6 Ac 3.87-3.92
Ac10 0.9874 0.7460 0.0000  1 Y 3.76, 7 Ac 3.82-3.92, 4 Sm 3.82-3.92
Sm1 0.2424 0.8758 0.5000  10 Ac 3.75-3.92, 2 Y 3.89
Sm2 0.2576 0.3758 0.5000  10 Ac 3.75-3.92, 2 Y 3.89
Sm3 0.7424 0.6242 0.5000  10 Ac 3.75-3.92, 2 Y 3.89
Sm4 0.7576 0.1242 0.5000  10 Ac 3.75-3.92, 2 Y 3.89
Y1 0.0000 0.5000 0.0000  8 Ac 3.76-3.81, 4 Sm 3.89
Y2 0.5000 0.0000 0.0000  8 Ac 3.76-3.81, 4 Sm 3.89

(3)
Density functional theory data (PBE) for crystalline Sr3Ge2Pb2 at its relaxed geometry.

Computed properties:
E_tot (eV/atom): -3.56
ΔE_f (meV/atom): -459
Symmetry: Immm, No. 71

a = 10.5756 Å, b = 10.5756 Å, c = 10.5756 Å
α = 154.83°, β = 152.97°, γ = 37.27°
Last column: nearest neighbours and their distance in Å.
Positions (direct):
Sr1 0.0000 0.0000 0.0000  8 Ge 3.61, 4 Pb 3.89
Sr2 0.1763 0.6763 0.5000  2 Ge 3.34, 5 Pb 3.42-3.49
Sr3 0.8237 0.3237 0.5000  2 Ge 3.34, 5 Pb 3.42-3.49
Ge1 0.4360 0.4360 0.0000  1 Ge 2.57
Ge2 0.5640 0.5640 0.0000  1 Ge 2.57
Pb1 0.3503 0.8503 0.5000  2 Ge 2.87
Pb2 0.6497 0.1497 0.5000  2 Ge 2.87

(4)
Density functional theory data (PBE) for crystalline HoPuZn at its relaxed geometry.

Computed properties:
E_tot (eV/atom): -6.79
ΔE_f (meV/atom): -61
Symmetry: I4mm, No. 107
E above lowest polymorph (meV per atom): 47

a = 6.6395 Å, b = 6.6395 Å, c = 6.6395 Å
α = 149.59°, β = 149.59°, γ = 43.54°
Last column: nearest neighbours and their distance in Å.
Positions (direct):
Ho1 0.0000 0.0000 0.0000  4 Zn 3.03
Pu1 0.7039 0.7039 0.0000  4 Zn 3.10
Zn1 0.3564 0.3564 0.0000  4 Ho 3.03, 4 Pu 3.10

Look up the E_tot of the first one. -3.56 eV/atom